[1]
# PBE ScCrP, optimized geometry
data_ScCrP
_cell_length_a 3.216
_cell_length_b 4.872
_cell_length_c 8.344
_cell_angle_alpha 120.09
_cell_angle_beta 78.89
_cell_angle_gamma 70.73
_symmetry_space_group_name_H-M 'P 1'
_symmetry_Int_Tables_number 1
loop_
_symmetry_equiv_pos_as_xyz
'x,y,z'
loop_
_atom_site_label
_atom_site_type_symbol
_atom_site_fract_x
_atom_site_fract_y
_atom_site_fract_z
P1 P 0.258 0.904 0.579
P2 P 0.742 0.096 0.421
Sc1 Sc 0.178 0.378 0.265
Sc2 Sc 0.822 0.622 0.735
Cr1 Cr 0.112 0.711 0.064
Cr2 Cr 0.888 0.289 0.936
# E	-44.41	eV for the cell shown
# density of states at the Fermi level	5.75	states/eV per cell
# DFT formation energy	-0.2804	eV/atom
# calculated volume	16.0	Å³/atom



[2]
# PBE ScCr2P, optimized geometry
data_ScCr2P
_cell_length_a 3.801
_cell_length_b 3.798
_cell_length_c 4.089
_cell_angle_alpha 90.00
_cell_angle_beta 90.00
_cell_angle_gamma 90.00
_symmetry_space_group_name_H-M 'P 1'
_symmetry_Int_Tables_number 1
loop_
_symmetry_equiv_pos_as_xyz
'x,y,z'
loop_
_atom_site_label
_atom_site_type_symbol
_atom_site_fract_x
_atom_site_fract_y
_atom_site_fract_z
Cr1 Cr 0.000 0.000 0.000
Sc1 Sc 0.000 0.500 0.500
P1 P 0.500 0.000 0.500
Cr2 Cr 0.500 0.500 0.000
# E	-31.72	eV for the cell shown
# density of states at the Fermi level	2.46	states/eV per cell
# DFT formation energy	-0.1832	eV/atom
# calculated volume	14.8	Å³/atom



[3]
# PBE ScCr2P, optimized geometry
data_ScCr2P
_cell_length_a 3.037
_cell_length_b 5.267
_cell_length_c 15.218
_cell_angle_alpha 90.00
_cell_angle_beta 90.00
_cell_angle_gamma 90.00
_symmetry_space_group_name_H-M 'P 1'
_symmetry_Int_Tables_number 1
loop_
_symmetry_equiv_pos_as_xyz
'x,y,z'
loop_
_atom_site_label
_atom_site_type_symbol
_atom_site_fract_x
_atom_site_fract_y
_atom_site_fract_z
Cr1 Cr 0.250 0.583 0.151
Cr2 Cr 0.750 0.082 0.151
Cr3 Cr 0.250 0.917 0.651
Cr4 Cr 0.750 0.417 0.849
Cr5 Cr 0.750 0.083 0.349
P1 P 0.750 0.415 0.250
Cr6 Cr 0.250 0.582 0.349
P2 P 0.750 0.085 0.750
P3 P 0.250 0.585 0.750
Cr7 Cr 0.750 0.418 0.651
Sc1 Sc 0.750 0.750 0.000
Sc2 Sc 0.250 0.250 0.500
P4 P 0.250 0.916 0.250
Sc3 Sc 0.750 0.750 0.500
Cr8 Cr 0.250 0.918 0.849
Sc4 Sc 0.250 0.250 0.000
# E	-123.97	eV for the cell shown
# density of states at the Fermi level	16.96	states/eV per cell
# DFT formation energy	-0.0014	eV/atom
# calculated volume	15.2	Å³/atom



[4]
# PBE ScCr2P, optimized geometry
data_ScCr2P
_cell_length_a 3.131
_cell_length_b 3.131
_cell_length_c 5.683
_cell_angle_alpha 90.00
_cell_angle_beta 90.00
_cell_angle_gamma 90.00
_symmetry_space_group_name_H-M 'P 1'
_symmetry_Int_Tables_number 1
loop_
_symmetry_equiv_pos_as_xyz
'x,y,z'
loop_
_atom_site_label
_atom_site_type_symbol
_atom_site_fract_x
_atom_site_fract_y
_atom_site_fract_z
P1 P 0.500 0.500 0.000
Cr1 Cr 0.000 0.000 0.808
Cr2 Cr 0.000 0.000 0.192
Sc1 Sc 0.500 0.500 0.500
# E	-31.74	eV for the cell shown
# density of states at the Fermi level	2.14	states/eV per cell
# DFT formation energy	-0.1877	eV/atom
# calculated volume	13.9	Å³/atom



[5]
# PBE ScCrP, optimized geometry
data_ScCrP
_cell_length_a 4.415
_cell_length_b 4.415
_cell_length_c 4.415
_cell_angle_alpha 60.00
_cell_angle_beta 60.00
_cell_angle_gamma 60.00
_symmetry_space_group_name_H-M 'P 1'
_symmetry_Int_Tables_number 1
loop_
_symmetry_equiv_pos_as_xyz
'x,y,z'
loop_
_atom_site_label
_atom_site_type_symbol
_atom_site_fract_x
_atom_site_fract_y
_atom_site_fract_z
P1 P 0.500 0.500 0.500
Cr1 Cr 0.000 0.000 0.000
Sc1 Sc 0.250 0.250 0.250
# E	-20.75	eV for the cell shown
# density of states at the Fermi level	2.51	states/eV per cell
# DFT formation energy	0.2047	eV/atom
# calculated volume	20.3	Å³/atom



[6]
# PBE ScCr2P, optimized geometry
data_ScCr2P
_cell_length_a 4.812
_cell_length_b 4.812
_cell_length_c 4.812
_cell_angle_alpha 133.23
_cell_angle_beta 133.23
_cell_angle_gamma 68.30
_symmetry_space_group_name_H-M 'P 1'
_symmetry_Int_Tables_number 1
loop_
_symmetry_equiv_pos_as_xyz
'x,y,z'
loop_
_atom_site_label
_atom_site_type_symbol
_atom_site_fract_x
_atom_site_fract_y
_atom_site_fract_z
P1 P 0.500 0.500 0.000
Sc1 Sc 0.750 0.250 0.500
Cr1 Cr 0.250 0.750 0.500
Cr2 Cr 0.000 0.000 0.000
# E	-31.52	eV for the cell shown
# density of states at the Fermi level	1.64	states/eV per cell
# DFT formation energy	-0.1325	eV/atom
# calculated volume	14.5	Å³/atom



What is the formula in the third record? ScCr2P



Please write out number 2 again, unchanged.
# PBE ScCr2P, optimized geometry
data_ScCr2P
_cell_length_a 3.801
_cell_length_b 3.798
_cell_length_c 4.089
_cell_angle_alpha 90.00
_cell_angle_beta 90.00
_cell_angle_gamma 90.00
_symmetry_space_group_name_H-M 'P 1'
_symmetry_Int_Tables_number 1
loop_
_symmetry_equiv_pos_as_xyz
'x,y,z'
loop_
_atom_site_label
_atom_site_type_symbol
_atom_site_fract_x
_atom_site_fract_y
_atom_site_fract_z
Cr1 Cr 0.000 0.000 0.000
Sc1 Sc 0.000 0.500 0.500
P1 P 0.500 0.000 0.500
Cr2 Cr 0.500 0.500 0.000
# E	-31.72	eV for the cell shown
# density of states at the Fermi level	2.46	states/eV per cell
# DFT formation energy	-0.1832	eV/atom
# calculated volume	14.8	Å³/atom



Which of these has the lowest DFT formation energy? number 1